# 1
! CsRbRuI6, optimized geometry, DFT GGA-PBE; values from VASP
! final energy = -25.89 eV for the cell shown
! D(E_F) = 5.90 states/eV per cell
! V = 473.3 Å³ per cell
! ΔE_f (raw) = -5.49 eV per formula unit
&SYSTEM
  ibrav = 0, nat = 9, ntyp = 4
/
ATOMIC_SPECIES
I 126.90 I.upf
Cs 132.91 Cs.upf
Rb 85.47 Rb.upf
Ru 101.07 Ru.upf
CELL_PARAMETERS angstrom
-0.309 -7.611 4.398
4.655 -6.908 -2.829
5.471 2.066 3.960
ATOMIC_POSITIONS angstrom
I 5.366 -5.271 4.470
I 4.107 -6.030 0.933
Cs 5.162 -5.545 8.357
I 6.650 -3.123 1.574
Rb 5.633 -8.646 3.025
I 3.058 -2.378 0.478
I 1.693 -4.407 3.422
I 4.232 -1.630 4.137
Ru 4.184 -3.807 2.503



# 2
! CsRbSI, optimized geometry, DFT GGA-PBE; values from VASP
! final energy = -10.96 eV for the cell shown
! D(E_F) = 8.35 states/eV per cell
! V = 169.7 Å³ per cell
! ΔE_f (raw) = -3.46 eV per formula unit
&SYSTEM
  ibrav = 0, nat = 4, ntyp = 4
/
ATOMIC_SPECIES
I 126.90 I.upf
Rb 85.47 Rb.upf
S 32.06 S.upf
Cs 132.91 Cs.upf
CELL_PARAMETERS angstrom
-1.788 5.935 0.449
-3.076 2.681 -4.687
-6.024 1.391 0.629
ATOMIC_POSITIONS angstrom
I -5.444 5.004 -1.805
Rb -2.722 2.502 -0.902
S 0.000 0.000 0.000
Cs -8.166 7.505 -2.707



# 3
! Cs2RbSI, optimized geometry, DFT GGA-PBE; values from VASP
! final energy = -14.04 eV for the cell shown
! V = 285.3 Å³ per cell
! ΔE_f (raw) = -5.69 eV per formula unit
&SYSTEM
  ibrav = 0, nat = 5, ntyp = 4
/
ATOMIC_SPECIES
Cs 132.91 Cs.upf
Rb 85.47 Rb.upf
I 126.90 I.upf
S 32.06 S.upf
CELL_PARAMETERS angstrom
-0.640 6.517 -1.491
-2.291 1.193 6.199
5.916 1.036 1.986
ATOMIC_POSITIONS angstrom
Cs -0.320 3.258 -0.746
Rb 2.958 0.518 0.993
I 1.493 4.373 3.347
Cs -1.145 0.597 3.100
S 0.000 0.000 0.000



# 4
! CsRbSbI2, optimized geometry, DFT GGA-PBE; values from VASP
! final energy = -11.38 eV for the cell shown
! V = 335.5 Å³ per cell
! ΔE_f (raw) = -2.34 eV per formula unit
&SYSTEM
  ibrav = 0, nat = 5, ntyp = 4
/
ATOMIC_SPECIES
I 126.90 I.upf
Cs 132.91 Cs.upf
Rb 85.47 Rb.upf
Sb 121.76 Sb.upf
CELL_PARAMETERS angstrom
-2.912 5.180 3.663
-4.970 0.642 -4.859
-3.889 -4.572 3.373
ATOMIC_POSITIONS angstrom
I -2.485 0.321 -2.430
Cs -5.885 0.625 1.088
Rb 0.000 0.000 0.000
Sb -1.945 -2.286 1.687
I -1.456 2.590 1.831



no.,spin magnetization (μB per atom)
1,0.23
2,0.25
3,0.00
4,0.62